No. 1
# ScPtW2 (PBE, optimized geometry)
data_ScPtW2
_chemical_formula_sum 'Sc1 Pt1 W2'
_space_group_name_H-M_alt 'P 1'
_space_group_IT_number 1
_cell_length_a 2.772
_cell_length_b 4.582
_cell_length_c 5.364
_cell_angle_alpha 90.00
_cell_angle_beta 90.00
_cell_angle_gamma 90.00
loop_
_space_group_symop_operation_xyz
'x,y,z'
loop_
_atom_site_label
_atom_site_type_symbol
_atom_site_fract_x
_atom_site_fract_y
_atom_site_fract_z
_atom_site_occupancy
Pt1 Pt 0.500 0.500 0.250 1
Sc1 Sc 0.500 0.500 0.750 1
W1 W 0.000 0.000 0.997 1
W2 W 0.000 0.000 0.503 1
# Energy of formation ... 83 meV/atom



No. 2
# HgS2O7 (PBE, optimized geometry)
data_HgS2O7
_chemical_formula_sum 'Hg4 S8 O28'
_space_group_name_H-M_alt 'P 1'
_space_group_IT_number 1
_cell_length_a 13.380
_cell_length_b 5.345
_cell_length_c 9.865
_cell_angle_alpha 59.14
_cell_angle_beta 90.00
_cell_angle_gamma 90.00
loop_
_space_group_symop_operation_xyz
'x,y,z'
loop_
_atom_site_label
_atom_site_type_symbol
_atom_site_fract_x
_atom_site_fract_y
_atom_site_fract_z
_atom_site_occupancy
O1 O 0.011 0.206 0.234 1
O2 O 0.292 0.531 0.417 1
S1 S 0.184 0.275 0.907 1
O3 O 0.326 0.002 0.557 1
O4 O 0.989 0.794 0.766 1
S2 S 0.024 0.632 0.693 1
Hg1 Hg 0.349 0.871 0.824 1
O5 O 0.392 0.772 0.084 1
Hg2 Hg 0.651 0.129 0.176 1
S3 S 0.976 0.368 0.307 1
O6 O 0.757 0.753 0.210 1
O7 O 0.257 0.247 0.290 1
O8 O 0.945 0.532 0.629 1
O9 O 0.792 0.469 0.083 1
S4 S 0.316 0.275 0.407 1
O10 O 0.108 0.772 0.584 1
O11 O 0.892 0.228 0.416 1
O12 O 0.445 0.468 0.871 1
Hg3 Hg 0.849 0.129 0.676 1
O13 O 0.708 0.469 0.583 1
O14 O 0.067 0.321 0.842 1
O15 O 0.174 0.002 0.057 1
O16 O 0.743 0.753 0.710 1
S5 S 0.684 0.725 0.593 1
O17 O 0.826 0.998 0.943 1
Hg4 Hg 0.151 0.871 0.324 1
O18 O 0.608 0.228 0.916 1
S6 S 0.524 0.368 0.807 1
S7 S 0.816 0.725 0.093 1
O19 O 0.674 0.998 0.443 1
O20 O 0.933 0.679 0.158 1
O21 O 0.208 0.531 0.917 1
O22 O 0.243 0.247 0.790 1
O23 O 0.489 0.206 0.734 1
O24 O 0.555 0.532 0.129 1
O25 O 0.567 0.679 0.658 1
O26 O 0.511 0.794 0.266 1
O27 O 0.055 0.468 0.371 1
S8 S 0.476 0.632 0.193 1
O28 O 0.433 0.321 0.342 1
# VASP energy ... -5.38 eV per atom



No. 3
# Sm7Er12Tm (PBE, optimized geometry)
data_Sm7Er12Tm
_chemical_formula_sum 'Sm7 Er12 Tm1'
_space_group_name_H-M_alt 'P 1'
_space_group_IT_number 1
_cell_length_a 8.717
_cell_length_b 8.717
_cell_length_c 8.717
_cell_angle_alpha 85.93
_cell_angle_beta 85.93
_cell_angle_gamma 85.93
loop_
_space_group_symop_operation_xyz
'x,y,z'
loop_
_atom_site_label
_atom_site_type_symbol
_atom_site_fract_x
_atom_site_fract_y
_atom_site_fract_z
_atom_site_occupancy
Er1 Er 0.135 0.497 0.618 1
Er2 Er 0.746 0.271 0.146 1
Er3 Er 0.382 0.865 0.503 1
Er4 Er 0.865 0.503 0.382 1
Er5 Er 0.618 0.135 0.497 1
Er6 Er 0.729 0.854 0.254 1
Er7 Er 0.271 0.146 0.746 1
Sm1 Sm 0.154 0.399 0.076 1
Er8 Er 0.503 0.382 0.865 1
Sm2 Sm 0.399 0.076 0.154 1
Tm1 Tm 0.000 0.000 0.000 1
Er9 Er 0.254 0.729 0.854 1
Sm3 Sm 0.846 0.601 0.924 1
Sm4 Sm 0.500 0.500 0.500 1
Sm5 Sm 0.076 0.154 0.399 1
Er10 Er 0.146 0.746 0.271 1
Sm6 Sm 0.601 0.924 0.846 1
Sm7 Sm 0.924 0.846 0.601 1
Er11 Er 0.497 0.618 0.135 1
Er12 Er 0.854 0.254 0.729 1
# Energy of formation ... 236 meV/atom
# Excess energy over the best structure of this formula in the dataset ... 0.0 kJ/mol of atoms